[1]
Computed, not measured: a geometry-optimized SrSb2Br2 structure at the PBE level of DFT. Values from VASP.

Output
As for the calculated density: 4.0 g/cm3. The calculation puts the density of states at the Fermi level at 1.78 states/eV/cell. Its raw formation energy is -927 meV per atom. The value obtained for the volume is 206 Å³/cell.

Cell and atoms, written as Quantum ESPRESSO input:
```
&SYSTEM
  ibrav = 0, nat = 5, ntyp = 3
/
ATOMIC_SPECIES
Sr 87.62 Sr.upf
Sb 121.76 Sb.upf
Br 79.90 Br.upf
CELL_PARAMETERS angstrom
-2.038 2.038 12.372
2.038 -2.038 12.372
2.038 2.038 -12.372
ATOMIC_POSITIONS crystal
Sr 0.000 0.000 0.000
Sb 0.250 0.750 0.500
Sb 0.750 0.250 0.500
Br 0.431 0.431 0.000
Br 0.569 0.569 0.000
```

---

[2]
Computed, not measured: a geometry-optimized SrSb3Br structure at the PBE level of DFT. Values from VASP.

Output
As for the calculated density: 5.1 g/cm3. The calculation puts the density of states at the Fermi level at 4.14 states/eV/cell. Its raw formation energy is 208 meV per atom. The value obtained for the volume is 174 Å³/cell. The calculation puts the energy above the most stable polymorph in this dataset at 0 meV/atom.

Cell and atoms, written as Quantum ESPRESSO input:
```
&SYSTEM
  ibrav = 0, nat = 5, ntyp = 3
/
ATOMIC_SPECIES
Sr 87.62 Sr.upf
Sb 121.76 Sb.upf
Br 79.90 Br.upf
CELL_PARAMETERS angstrom
5.584 0.000 0.000
0.000 5.584 0.000
0.000 0.000 5.584
ATOMIC_POSITIONS crystal
Sr 0.000 0.000 0.000
Sb 0.000 0.500 0.500
Sb 0.500 0.000 0.500
Sb 0.500 0.500 0.000
Br 0.500 0.500 0.500
```

---

[3]
Computed, not measured: a geometry-optimized SrSbBr2 structure at the PBE level of DFT. Values from VASP.

Output
As for the calculated density: 4.1 g/cm3. The calculation puts the density of states at the Fermi level at 0.65 states/eV/cell. Its raw formation energy is -1075 meV per atom. The value obtained for the volume is 149 Å³/cell. The calculation puts the energy above the most stable polymorph in this dataset at 0 meV/atom.

Cell and atoms, written as Quantum ESPRESSO input:
```
&SYSTEM
  ibrav = 0, nat = 4, ntyp = 3
/
ATOMIC_SPECIES
Sr 87.62 Sr.upf
Sb 121.76 Sb.upf
Br 79.90 Br.upf
CELL_PARAMETERS angstrom
6.549 -1.926 0.000
6.549 1.926 0.000
-0.651 0.000 5.925
ATOMIC_POSITIONS crystal
Sr 0.000 0.000 0.000
Sb 0.500 0.500 0.500
Br 0.335 0.335 0.780
Br 0.665 0.665 0.220
```

---

[4]
Computed, not measured: a geometry-optimized SrSbBr2 structure at the PBE level of DFT. Values from VASP.

Output
As for the calculated density: 4.7 g/cm3. The calculation puts the density of states at the Fermi level at 1.38 states/eV/cell. Its raw formation energy is -1033 meV per atom. The value obtained for the volume is 130 Å³/cell. The calculation puts the energy above the most stable polymorph in this dataset at 42 meV/atom.

Cell and atoms, written as Quantum ESPRESSO input:
```
&SYSTEM
  ibrav = 0, nat = 4, ntyp = 3
/
ATOMIC_SPECIES
Sr 87.62 Sr.upf
Sb 121.76 Sb.upf
Br 79.90 Br.upf
CELL_PARAMETERS angstrom
4.075 0.000 0.000
0.000 6.059 0.000
-2.021 0.000 5.258
ATOMIC_POSITIONS crystal
Sr 0.000 0.000 0.000
Sb 0.587 0.500 0.174
Br 0.291 0.000 0.579
Br 0.845 0.500 0.688
```

---

[5]
Computed, not measured: a geometry-optimized Sr2SbBr structure at the PBE level of DFT. Values from VASP.

Output
As for the calculated density: 4.1 g/cm3. The calculation puts the density of states at the Fermi level at 0.42 states/eV/cell. Its raw formation energy is -1260 meV per atom. The value obtained for the volume is 152 Å³/cell.

Cell and atoms, written as Quantum ESPRESSO input:
```
&SYSTEM
  ibrav = 0, nat = 4, ntyp = 3
/
ATOMIC_SPECIES
Sr 87.62 Sr.upf
Sb 121.76 Sb.upf
Br 79.90 Br.upf
CELL_PARAMETERS angstrom
-2.185 2.206 7.907
2.185 -2.206 7.907
2.185 2.206 -7.907
ATOMIC_POSITIONS crystal
Sr 0.000 0.000 0.000
Sr 0.723 0.223 0.500
Sb 0.574 0.574 0.000
Br 0.320 0.820 0.500
```

---

[6]
Computed, not measured: a geometry-optimized SrSb2Br structure at the PBE level of DFT. Values from VASP.

Output
As for the calculated density: 5.1 g/cm3. The calculation puts the density of states at the Fermi level at 3.33 states/eV/cell. Its raw formation energy is -818 meV per atom. The value obtained for the volume is 270 Å³/cell. The calculation puts the energy above the most stable polymorph in this dataset at 76 meV/atom.

Cell and atoms, written as Quantum ESPRESSO input:
```
&SYSTEM
  ibrav = 0, nat = 8, ntyp = 3
/
ATOMIC_SPECIES
Sr 87.62 Sr.upf
Sb 121.76 Sb.upf
Br 79.90 Br.upf
CELL_PARAMETERS angstrom
-2.235 2.235 13.509
2.235 -2.235 13.509
2.235 2.235 -13.509
ATOMIC_POSITIONS crystal
Sr 0.000 0.000 0.000
Sr 0.750 0.250 0.500
Sb 0.079 0.625 0.954
Sb 0.375 0.329 0.454
Sb 0.671 0.125 0.046
Sb 0.875 0.921 0.546
Br 0.250 0.750 0.500
Br 0.500 0.500 0.000
```

---

[7]
Computed, not measured: a geometry-optimized SrSb2Br structure at the PBE level of DFT. Values from VASP.

Output
As for the calculated density: 5.2 g/cm3. The calculation puts the density of states at the Fermi level at 1.18 states/eV/cell. Its raw formation energy is -893 meV per atom. The value obtained for the volume is 132 Å³/cell. The calculation puts the energy above the most stable polymorph in this dataset at 0 meV/atom.

Cell and atoms, written as Quantum ESPRESSO input:
```
&SYSTEM
  ibrav = 0, nat = 4, ntyp = 3
/
ATOMIC_SPECIES
Sr 87.62 Sr.upf
Sb 121.76 Sb.upf
Br 79.90 Br.upf
CELL_PARAMETERS angstrom
4.128 0.000 0.000
0.000 2.107 7.562
0.000 -2.107 7.562
ATOMIC_POSITIONS crystal
Sr 0.000 0.000 0.000
Sb 0.000 0.736 0.736
Sb 0.500 0.176 0.176
Br 0.500 0.438 0.438
```

---

[8]
Computed, not measured: a geometry-optimized SrSb2Br structure at the PBE level of DFT. Values from VASP.

Output
As for the calculated density: 5.2 g/cm3. The calculation puts the density of states at the Fermi level at 1.85 states/eV/cell. Its raw formation energy is -467 meV per atom. The value obtained for the volume is 131 Å³/cell. The calculation puts the energy above the most stable polymorph in this dataset at 426 meV/atom.

Cell and atoms, written as Quantum ESPRESSO input:
```
&SYSTEM
  ibrav = 0, nat = 4, ntyp = 3
/
ATOMIC_SPECIES
Sr 87.62 Sr.upf
Sb 121.76 Sb.upf
Br 79.90 Br.upf
CELL_PARAMETERS angstrom
2.938 -6.230 0.000
2.938 6.230 0.000
0.000 0.000 3.569
ATOMIC_POSITIONS crystal
Sr 0.000 0.000 0.000
Sb 0.000 0.500 0.500
Sb 0.500 0.000 0.500
Br 0.500 0.500 0.000
```

---

Q: Which of these has the highest raw formation energy?
A: SrSb3Br

---

Q: Among the records above, which one has the lowest calculated density?
A: SrSb2Br2